The following is a meta-GGA SCAN calculation of a crystal of TaTeP2S relaxed with PBEsol, from Alexandria via LeMat-Bulk.

a = 4.5506 Å, b = 4.9122 Å, c = 4.9122 Å
α = 90.00°, β = 90.00°, γ = 90.00°
Fractional coordinates of all 5 atoms:
P: 0.0000 0.0000 0.5000
P: 0.0000 0.5000 0.0000
Te: 0.5000 0.5000 0.5000
S: 0.5000 0.0000 0.0000
Ta: 0.0000 0.0000 0.0000

Calculated values
- SG = P4/mmm (123)
- uncorrected energy (eV per atom) = -26.562
- magnetization (μB per cell) = 0.0
- D(E_F) (states/eV per cell) = 3.214